# VZnTcAs2, relaxed, DFT PBE-GGA
# total moment = 0.7 μB per formula unit
# E = -5.2532 eV per atom
data_VZnTcAs2
_chemical_formula_sum 'V1 Zn1 Tc1 As2'
_symmetry_space_group_name_H-M 'P 4/m m m'
_symmetry_Int_Tables_number 123
_symmetry_space_group_name_Hall '-P 4 2'
_cell_length_a 4.661
_cell_length_b 4.661
_cell_length_c 4.581
_cell_angle_alpha 90.00
_cell_angle_beta 90.00
_cell_angle_gamma 90.00
loop_
_atom_site_label
_atom_site_fract_x
_atom_site_fract_y
_atom_site_fract_z
V1 0.000 0.000 0.000
Zn1 0.500 0.500 0.500
Tc1 0.000 0.000 0.500
As1 0.000 0.500 0.000

=====

# Pr8As6Br, relaxed, DFT PBE-GGA
# total moment = 0.0 μB per formula unit
# E_form (uncorrected) = -1.20 eV per atom
# E = -5.7194 eV per atom
data_Pr8As6Br
_chemical_formula_sum 'Pr8 As6 Br1'
_symmetry_space_group_name_H-M 'P -3'
_symmetry_Int_Tables_number 147
_cell_length_a 11.3717
_cell_length_b 11.3717
_cell_length_c 4.4274
_cell_angle_alpha 90.00
_cell_angle_beta 90.00
_cell_angle_gamma 120.00
loop_
_symmetry_equiv_pos_as_xyz
'x,y,z'
'-x,-y,-z'
'-y,x-y,z'
'y,-x+y,-z'
'-x+y,-x,z'
'x-y,x,-z'
loop_
_atom_site_label
_atom_site_fract_x
_atom_site_fract_y
_atom_site_fract_z
Pr1 0.0366 0.3674 0.2445
Pr2 0.3333 0.6667 0.7531
As1 0.1417 0.6651 0.2545
Br1 0.0000 0.0000 0.0000

=====

# MnSiNi14, relaxed, DFT PBE-GGA
# total moment = 10.2 μB per formula unit
# E_form (uncorrected) = -0.12 eV per atom
# E = -6.0877 eV per atom
data_MnSiNi14
_chemical_formula_sum 'Mn1 Si1 Ni14'
_symmetry_space_group_name_H-M 'P 4/m m m'
_symmetry_Int_Tables_number 123
_symmetry_space_group_name_Hall '-P 4 2'
_cell_length_a 5.003
_cell_length_b 5.003
_cell_length_c 7.009
_cell_angle_alpha 90.00
_cell_angle_beta 90.00
_cell_angle_gamma 90.00
loop_
_atom_site_label
_atom_site_fract_x
_atom_site_fract_y
_atom_site_fract_z
Mn1 0.000 0.000 0.000
Si1 0.500 0.500 0.000
Ni1 0.000 0.000 0.500
Ni2 0.000 0.500 0.000
Ni3 0.000 0.500 0.500
Ni4 0.253 0.253 0.250
Ni5 0.500 0.500 0.500

=====

# Cu2TeSe, relaxed, DFT PBE-GGA
# total moment = 0.0 μB per formula unit
# E_form (uncorrected) = 0.28 eV per atom
# E = -3.4207 eV per atom
data_Cu2TeSe
_chemical_formula_sum 'Cu2 Te1 Se1'
_symmetry_space_group_name_H-M 'P m m m'
_symmetry_Int_Tables_number 47
_cell_length_a 3.666
_cell_length_b 3.749
_cell_length_c 5.745
_cell_angle_alpha 90.00
_cell_angle_beta 90.00
_cell_angle_gamma 90.00
loop_
_symmetry_equiv_pos_as_xyz
'x,y,z'
'-x,-y,-z'
'-x,-y,z'
'x,y,-z'
'x,-y,-z'
'-x,y,z'
'-x,y,-z'
'x,-y,z'
loop_
_atom_site_label
_atom_site_fract_x
_atom_site_fract_y
_atom_site_fract_z
Cu1 0.000 0.000 0.000
Cu2 0.500 0.000 0.500
Te1 0.000 0.500 0.500
Se1 0.500 0.500 0.000

=====

Q: The highest E belongs to which entry?
A: Cu2TeSe

=====

Q: The lowest E belongs to which entry?
A: MnSiNi14

=====

Q: Look up the total moment of the third one.
A: 10.2 μB per formula unit

=====

Q: total moment of number 2 (Pr8As6Br)?
A: 0.0 μB per formula unit